Material: CaTi3Cu
Method: DFT, PBE
State: relaxed

Cell lengths 4.6242, 4.6242, 4.6242 Å; angles 90.00, 90.00, 90.00 degrees
Positions (direct):
Ca 0.0000 0.0000 0.0000
Ti 0.0000 0.0000 0.5000
Ti 0.0000 0.5000 0.0000
Ti 0.5000 0.0000 0.0000
Cu 0.5000 0.5000 0.5000

Values from the calculation:
Density = 4.15 g/cm3
Polymorph energy (0 for the lowest one) = 1245 meV per atom
Raw total energy = -20.502 eV for the cell shown
Size of the total moment = 0.488 μB/atom